Entry from Alexandria via LeMat-Bulk: ErCo4Pb after structural relaxation (PBE).

Lattice parameters (Å, degrees): 5.0334 5.0334 5.0334 60.00 60.00 60.00
Fractional coordinates of all 6 atoms:
Er 0.0000 0.0000 0.0000
Co 0.1241 0.6253 0.6253
Co 0.6253 0.1241 0.6253
Co 0.6253 0.6253 0.1241
Co 0.6253 0.6253 0.6253
Pb 0.2500 0.2500 0.2500

V in Å³/atom: 15.029
Density in g/cm³: 11.237
Energy of formation from the pure elements in meV per atom: -11
E_tot in eV/atom: -6.127
Symmetry: F-43m (216)